(1)
The following is a PBE calculation of NaHfBi2O6 after structural relaxation, from Alexandria.

The calculation puts the volume at 452.3 Å³/cell. As for the total energy: -6.772 eV per atom.

It has space group R3 (No. 146, hexagonal axes), with a = 5.8078 Å, b = 5.8078 Å, c = 15.4849 Å, α = 90.00°, β = 90.00° and γ = 120.00°. The inequivalent atoms are Na at (0.0000, 0.0000, 0.0000), Hf at (0.0000, 0.0000, 0.4885), Bi at (0.0000, 0.0000, 0.2794), Bi at (0.0000, 0.0000, 0.7849), O at (0.0185, 0.7375, 0.3912) and O at (0.0516, 0.3374, 0.5476).

---

(2)
The following is a PBE calculation of NaHf2Bi2O7 after structural relaxation, from Alexandria.

The calculation puts the volume at 389.3 Å³/cell. As for the total energy: -7.504 eV per atom.

It has space group Imm2 (No. 44), with a = 3.491 Å, b = 19.127 Å, c = 5.829 Å, α = 90.00°, β = 90.00° and γ = 90.00°. The inequivalent atoms are Na at (0.000, 0.000, 0.000), Hf at (0.000, 0.401, 0.037), Bi at (0.000, 0.307, 0.565), O at (0.000, 0.121, 0.690), O at (0.000, 0.287, 0.930), O at (0.000, 0.416, 0.701) and O at (0.000, 0.500, 0.144).

---

(3)
The following is a PBE calculation of Na2HfBiO6 after structural relaxation, from Alexandria.

The calculation puts the volume at 269.8 Å³/cell. As for the total energy: -6.400 eV per atom.

It has space group P2_1/c (No. 14), with a = 5.707 Å, b = 5.811 Å, c = 9.930 Å, α = 90.00°, β = 124.99° and γ = 90.00°. The inequivalent atoms are Na at (0.243, 0.031, 0.250), Hf at (0.000, 0.000, 0.500), Bi at (0.500, 0.000, 0.000), O at (0.156, 0.209, 0.954), O at (0.248, 0.703, 0.956) and O at (0.335, 0.027, 0.747).

---

(4)
The following is a PBE calculation of NaSrHfBiO6 after structural relaxation, from Alexandria.

The calculation puts the volume at 575.4 Å³/cell. As for the total energy: -6.855 eV per atom.

It has space group F-43m (No. 216), with a = 8.317 Å, b = 8.317 Å, c = 8.317 Å, α = 90.00°, β = 90.00° and γ = 90.00°. The inequivalent atoms are Na at (0.000, 0.000, 0.000), Sr at (0.000, 0.000, 0.500), Hf at (0.250, 0.250, 0.250), Bi at (0.250, 0.250, 0.750) and O at (0.003, 0.250, 0.250).

---

(5)
The following is a PBE calculation of Na2HfPaBi4 after structural relaxation, from Alexandria.

The calculation puts the volume at 259.0 Å³/cell. As for the total energy: -4.837 eV per atom. The value obtained for the formation energy is -135 meV/atom.

It has space group P2/m (No. 10), with a = 7.617 Å, b = 4.322 Å, c = 8.233 Å, α = 90.00°, β = 107.11° and γ = 90.00°. The inequivalent atoms are Na at (0.000, 0.000, 0.000), Na at (0.500, 0.500, 0.000), Hf at (0.000, 0.500, 0.500), Pa at (0.500, 0.000, 0.500), Bi at (0.228, 0.000, 0.721) and Bi at (0.245, 0.500, 0.272).

---

(6)
The following is a PBE calculation of NaHfBiRh2 after structural relaxation, from Alexandria.

The calculation puts the volume at 104.0 Å³/cell. As for the total energy: -4.809 eV per atom. The value obtained for the formation energy is 1163 meV/atom.

It has space group P4/mmm (No. 123), with a = 4.606 Å, b = 4.606 Å, c = 4.902 Å, α = 90.00°, β = 90.00° and γ = 90.00°. The inequivalent atoms are Na at (0.000, 0.000, 0.000), Hf at (0.000, 0.000, 0.500), Bi at (0.500, 0.500, 0.500) and Rh at (0.000, 0.500, 0.000).

---

(7)
The following is a PBE calculation of Na3HfBi2S6 after structural relaxation, from Alexandria.

The calculation puts the volume at 566.5 Å³/cell. As for the total energy: -4.811 eV per atom.

It has space group C2/m (No. 12), with a = 6.988 Å, b = 12.388 Å, c = 6.964 Å, α = 90.00°, β = 110.02° and γ = 90.00°. The inequivalent atoms are Na at (0.000, 0.000, 0.000), Na at (0.000, 0.329, 0.000), Hf at (0.000, 0.500, 0.500), Bi at (0.000, 0.166, 0.500), S at (0.228, 0.350, 0.725) and S at (0.231, 0.500, 0.279).

---

(8)
The following is a PBE calculation of Na2HfBiS after structural relaxation, from Alexandria.

The calculation puts the volume at 176.6 Å³/cell. As for the total energy: -3.180 eV per atom.

It has space group P4/mmm (No. 123), with a = 5.679 Å, b = 5.679 Å, c = 5.477 Å, α = 90.00°, β = 90.00° and γ = 90.00°. The inequivalent atoms are Na at (0.000, 0.500, 0.000), Hf at (0.000, 0.000, 0.500), Bi at (0.500, 0.500, 0.000) and S at (0.500, 0.500, 0.500).